No. 1
A relaxed NbBiH2 crystal. Source: Alexandria via LeMat-Bulk, functional PBE. Values from VASP.

Properties
Total DFT energy (no corrections): -4.88 eV/atom
Magnetization: 0.00 μB/f.u.

Quantum ESPRESSO input file:
```
&SYSTEM
  ibrav = 0, nat = 8, ntyp = 3
/
ATOMIC_SPECIES
H 1.01 H.upf
Nb 92.91 Nb.upf
Bi 208.98 Bi.upf
CELL_PARAMETERS angstrom
-3.697 3.148 -1.059
-1.774 -3.211 -3.353
-5.362 -2.011 1.078
ATOMIC_POSITIONS angstrom
H -3.394 0.655 -0.674
H -3.390 -1.708 -2.096
H -6.303 -1.948 -1.281
H -8.578 -1.147 -2.617
Nb -2.735 -0.031 -2.206
Nb -4.935 -2.627 -2.240
Bi 0.000 0.000 0.000
Bi -5.897 0.553 -1.094
```


No. 2
A relaxed ScReRu2 crystal. Source: Alexandria via LeMat-Bulk, functional PBE. Values from VASP.

Properties
ΔE_f: 4.1 kJ per mole of atoms
Magnetization: 0.00 μB/f.u.

Quantum ESPRESSO input file:
```
&SYSTEM
  ibrav = 0, nat = 4, ntyp = 3
/
ATOMIC_SPECIES
Re 186.21 Re.upf
Ru 101.07 Ru.upf
Sc 44.96 Sc.upf
CELL_PARAMETERS angstrom
-3.750 -0.590 3.317
-3.552 -3.320 -1.333
5.036 -0.015 0.223
ATOMIC_POSITIONS angstrom
Re -1.183 -1.280 2.266
Ru 0.000 0.000 0.000
Ru -1.084 -2.645 -0.059
Sc -3.651 -1.955 0.992
```


No. 3
A relaxed TbPm6Sm2Er3 crystal. Source: Alexandria via LeMat-Bulk, functional PBE. Values from VASP.

Properties
ΔE_f: 1.4 kJ per mole of atoms
Magnetization: 0.00 μB/f.u.

Quantum ESPRESSO input file:
```
&SYSTEM
  ibrav = 0, nat = 12, ntyp = 4
/
ATOMIC_SPECIES
Tb 158.93 Tb.upf
Pm 145.00 Pm.upf
Sm 150.36 Sm.upf
Er 167.26 Er.upf
CELL_PARAMETERS angstrom
-3.200 0.585 -5.338
5.387 -3.169 0.082
-6.557 -8.991 4.161
ATOMIC_POSITIONS angstrom
Tb 0.000 0.000 0.000
Pm -4.690 -8.028 -1.730
Pm -0.014 -4.215 -2.898
Pm 0.321 -3.546 0.635
Pm -1.831 -9.278 0.075
Pm -4.355 -7.359 1.803
Pm -2.538 -2.296 -1.169
Sm 2.526 -1.918 -1.724
Sm -0.338 -0.666 -3.531
Er 0.679 -7.039 1.260
Er -5.048 -4.535 -2.355
Er -2.185 -5.787 -0.547
```


No. 4
A relaxed RbCd2SnAu4 crystal. Source: Alexandria via LeMat-Bulk, functional PBE. Values from VASP.

Properties
ΔE_f: -10.8 kJ per mole of atoms
Magnetization: 0.00 μB/f.u.

Quantum ESPRESSO input file:
```
&SYSTEM
  ibrav = 0, nat = 8, ntyp = 4
/
ATOMIC_SPECIES
Rb 85.47 Rb.upf
Cd 112.41 Cd.upf
Sn 118.71 Sn.upf
Au 196.97 Au.upf
CELL_PARAMETERS angstrom
-2.775 1.208 3.882
1.869 -0.283 4.544
3.071 10.475 2.056
ATOMIC_POSITIONS angstrom
Rb 0.000 0.000 0.000
Cd 1.660 8.660 7.853
Cd 0.505 2.739 2.629
Sn 1.082 5.700 5.241
Au 1.992 8.441 5.038
Au 0.750 5.917 8.056
Au 1.415 5.482 2.425
Au 0.173 2.959 5.444
```